No. 1
This record from the Alexandria database describes Y2MnSnH after structural relaxation. The functional is PBE-GGA.

DFT total energy = -31.2 eV for the cell shown

Cell and atoms, written as extended XYZ:
```
5
Lattice="-3.342 -3.174 1.374 -0.994 -0.948 -4.609 2.884 -3.036 0.003" Properties=species:S:1:pos:R:3 pbc="T T T"
Y -0.497 -0.474 -2.305
Y -1.671 -1.587 0.687
H 0.000 0.000 0.000
Mn 1.442 -1.518 0.001
Sn -0.726 -3.579 -1.616
```

=====

No. 2
This record from the Alexandria database describes Zr2MnSnH after structural relaxation. The functional is PBE-GGA.

DFT total energy = -35.2 eV for the cell shown

Cell and atoms, written as extended XYZ:
```
5
Lattice="-2.872 -1.019 3.158 0.802 -4.265 -0.647 3.125 0.149 2.890" Properties=species:S:1:pos:R:3 pbc="T T T"
H 0.000 0.000 0.000
Mn 1.562 0.075 1.445
Sn 0.527 -2.567 2.700
Zr 0.401 -2.133 -0.323
Zr -1.436 -0.509 1.579
```

=====

No. 3
This record from the Alexandria database describes SrMn2H after structural relaxation. The functional is PBE-GGA.

Relative energy among the computed polymorphs = 3.91 eV/f.u.

Cell and atoms, written as extended XYZ:
```
4
Lattice="-1.723 -2.970 -3.585 -4.483 0.825 -1.967 -0.397 1.694 -4.649" Properties=species:S:1:pos:R:3 pbc="T T T"
Sr -3.301 -0.226 -5.101
Mn -1.651 -0.113 -2.550
Mn -4.952 -0.339 -7.651
H 0.000 0.000 0.000
```

=====

No. 4
This record from the Alexandria database describes SrMn2H8 after structural relaxation. The functional is PBE-GGA.

Relative energy among the computed polymorphs = 0.00 eV/f.u.

Cell and atoms, written as extended XYZ:
```
11
Lattice="-1.299 -4.588 0.896 3.233 -1.470 -2.854 0.958 0.593 4.414" Properties=species:S:1:pos:R:3 pbc="T T T"
Sr 4.080 -1.214 1.622
Mn 1.720 -3.398 0.075
Mn 0.962 -2.710 2.498
H 3.291 -2.731 -0.145
H 2.255 -1.791 3.165
H 2.141 -3.597 1.692
H 0.534 -4.228 2.795
H 1.292 -4.916 0.373
H 1.445 -1.983 1.016
H 1.025 -2.799 4.177
H 2.651 -4.274 -1.018
```

=====

No. 5
This record from the Alexandria database describes SrMnH5 after structural relaxation. The functional is PBE-GGA.

DFT total energy = -27.4 eV for the cell shown

Cell and atoms, written as extended XYZ:
```
7
Lattice="3.212 0.000 0.000 0.000 3.212 0.000 0.000 0.000 6.294" Properties=species:S:1:pos:R:3 pbc="T T T"
Sr 0.000 0.000 0.000
Mn 0.000 0.000 3.147
H 1.606 1.606 0.000
H 1.606 0.000 2.215
H 0.000 1.606 2.215
H 1.606 0.000 4.079
H 0.000 1.606 4.079
```

=====

No. 6
This record from the Alexandria database describes Sr2MnH after structural relaxation. The functional is PBE-GGA.

Relative energy among the computed polymorphs = 0.00 eV/f.u.

Cell and atoms, written as extended XYZ:
```
8
Lattice="7.419 0.000 0.000 0.000 7.419 0.000 3.709 3.709 4.176" Properties=species:S:1:pos:R:3 pbc="T T T"
Sr 4.840 1.855 1.044
Sr 2.579 5.564 1.044
Sr 5.564 6.289 3.132
Sr 9.274 8.549 3.132
Mn 0.000 0.000 0.000
Mn 7.419 3.709 2.088
H 3.709 3.709 0.000
H 3.709 7.419 2.088
```

=====

No. 7
This record from the Alexandria database describes SrMn2H8 after structural relaxation. The functional is PBE-GGA.

Relative energy among the computed polymorphs = 0.35 eV/f.u.

Cell and atoms, written as extended XYZ:
```
11
Lattice="-0.997 3.237 -1.529 -3.361 -2.334 -2.744 -1.419 1.648 4.421" Properties=species:S:1:pos:R:3 pbc="T T T"
Sr -0.499 1.619 -0.764
Mn -2.050 0.353 2.091
Mn -2.729 -1.039 -0.414
H -5.234 2.067 -1.229
H -4.646 3.272 0.940
H -2.626 0.396 0.492
H -3.257 0.520 -1.285
H -2.520 2.031 1.433
H -3.151 2.155 -0.343
H -1.131 -0.721 -0.792
H -0.543 0.484 1.377
```

=====

No. 8
This record from the Alexandria database describes Sr2MnH after structural relaxation. The functional is PBE-GGA.

Relative energy among the computed polymorphs = 1.27 eV/f.u.

Cell and atoms, written as extended XYZ:
```
4
Lattice="0.000 3.845 3.845 3.845 0.000 3.845 3.845 3.845 0.000" Properties=species:S:1:pos:R:3 pbc="T T T"
Sr 1.923 1.923 1.923
Sr 5.768 5.768 5.768
Mn 3.845 3.845 3.845
H 0.000 0.000 0.000
```

=====

No. 9
This record from the Alexandria database describes Sr3Mn5H12 after structural relaxation. The functional is PBE-GGA.

DFT total energy = -366.7 eV for the cell shown

Cell and atoms, written as extended XYZ:
```
80
Lattice="10.301 0.000 0.000 -3.434 9.712 0.000 -3.434 -4.856 8.411" Properties=species:S:1:pos:R:3 pbc="T T T"
Sr 6.009 3.035 1.051
Sr 6.009 6.677 1.051
Sr -0.858 4.249 5.257
Sr 0.858 -0.607 3.154
Sr 7.726 0.000 2.103
Sr 0.858 4.856 2.103
Sr 2.575 0.000 6.308
Sr -4.292 4.856 6.308
Sr 2.575 5.463 5.257
Sr 4.292 0.607 3.154
Sr -2.575 -1.821 7.360
Sr -2.575 1.821 7.360
Mn -0.858 2.428 2.103
Mn -1.717 4.856 0.000
Mn 0.000 0.000 0.000
Mn 2.575 1.821 1.051
Mn 3.434 -2.428 4.206
Mn 3.434 4.856 0.000
Mn -2.575 5.463 3.154
Mn 4.292 -3.035 7.360
Mn 4.292 4.249 3.154
Mn 0.858 -2.428 6.308
Mn 2.575 7.284 2.103
Mn 1.717 2.428 4.206
Mn 5.151 0.000 0.000
Mn -1.717 -2.428 4.206
Mn -0.858 0.607 5.257
Mn -0.858 7.891 1.051
Mn -3.434 2.428 4.206
Mn 6.009 -0.607 5.257
Mn 0.858 3.035 7.360
Mn 4.292 2.428 6.308
H 6.602 0.904 0.094
H 0.266 2.962 3.470
H 7.700 2.331 2.713
H 4.318 1.245 0.830
H 1.348 3.344 5.604
H 7.598 4.898 1.399
H -0.833 5.943 3.543
H -2.601 8.468 0.830
H 0.369 6.368 5.604
H 4.421 4.814 1.399
H 5.417 2.798 3.375
H 5.417 8.808 0.094
H -3.065 4.097 4.300
H 2.447 3.624 0.663
H -3.700 6.914 3.375
H 1.983 -1.894 4.941
H -0.369 0.753 1.493
H 2.447 6.046 0.736
H 4.318 7.381 2.713
H -0.730 3.666 0.736
H -2.086 5.609 6.918
H 2.550 3.769 3.543
H 4.782 5.615 4.300
H 4.164 -1.232 7.748
H 0.884 1.087 4.868
H -1.348 -0.759 4.111
H -0.730 6.088 0.663
H -0.884 -2.525 5.698
H 5.519 -0.753 1.493
H 4.164 1.190 7.675
H 0.987 -1.190 7.675
H 1.451 6.750 3.470
H 3.802 4.103 6.918
H 7.133 -2.058 5.036
H 6.499 0.759 4.111
H -1.983 -3.952 8.317
H 0.987 1.232 7.748
H 3.065 -1.512 2.807
H -0.987 0.042 7.012
H -1.983 2.058 5.036
H 6.035 -3.612 7.581
H 4.267 -1.087 4.868
H -0.884 3.612 7.581
H -4.164 -0.042 7.012
H 2.086 1.512 2.807
H -4.267 2.525 5.698
H 3.168 1.894 4.941
H -3.168 3.952 8.317
```

=====

No. 10
This record from the Alexandria database describes Sr12Mn3H5 after structural relaxation. The functional is PBE-GGA.

DFT total energy = -254.1 eV for the cell shown

Cell and atoms, written as extended XYZ:
```
80
Lattice="-1.317 12.019 -8.751 -3.581 -12.229 -7.771 -9.180 1.329 11.693" Properties=species:S:1:pos:R:3 pbc="T T T"
Mn -3.478 4.595 -8.016
Mn -4.986 1.511 -12.024
Mn -8.917 -3.834 -1.802
Mn -4.219 1.975 1.226
Mn -3.895 9.320 -5.705
Mn -5.027 -2.804 -5.215
Mn -9.051 3.923 0.386
Mn -10.183 -8.201 0.876
Mn -9.859 -0.855 -6.055
Mn -5.161 4.953 -3.027
Mn -9.092 -0.392 7.195
Mn -10.600 -3.475 3.187
H -3.803 -2.751 -1.085
H -1.791 -6.115 -3.886
H 0.000 0.000 0.000
H -2.537 1.616 -3.763
H -5.249 6.674 1.471
H -2.449 -0.105 -8.261
H -6.293 -7.171 -2.537
H -9.468 8.649 2.697
H -6.669 1.870 -7.035
H -7.827 3.976 4.517
H -6.252 -2.856 -9.346
H -7.039 0.560 -2.415
H -0.659 6.010 -4.376
H -4.590 0.665 5.847
H -7.410 -0.750 2.206
H -4.610 -7.530 -7.526
H -6.381 -5.450 1.961
H -7.785 8.290 -2.292
H -11.542 -0.497 -1.066
H -10.276 3.870 -3.744
Sr -1.526 7.101 -6.885
Sr -5.956 -2.074 -2.056
Sr -5.344 7.498 -8.146
Sr -2.504 3.850 -4.787
Sr -9.639 -0.641 -2.615
Sr -5.170 4.727 -11.024
Sr -7.003 -5.405 -4.091
Sr -4.461 -9.782 -6.556
Sr -10.627 -3.891 -4.803
Sr -4.784 1.535 -8.576
Sr -6.280 4.145 -6.193
Sr -4.471 -1.255 -13.883
Sr -7.453 -6.559 -0.459
Sr -2.776 -0.191 -5.411
Sr -6.863 -9.428 -3.326
Sr -6.451 4.281 2.504
Sr -2.706 -0.944 0.168
Sr -4.003 -2.514 -8.416
Sr -7.005 -0.984 -10.748
Sr -2.522 -3.466 -3.057
Sr -11.289 -6.344 -1.713
Sr -6.755 0.187 -5.247
Sr -8.856 1.610 -8.126
Sr -10.504 6.926 1.284
Sr -7.323 0.932 0.417
Sr -5.223 -0.491 3.297
Sr -3.575 -5.806 -6.113
Sr -7.073 2.103 5.919
Sr -2.790 7.463 -3.116
Sr -11.556 4.585 -1.773
Sr -10.075 3.633 3.587
Sr -7.628 -3.162 -7.333
Sr -11.373 2.064 -4.997
Sr -7.215 10.547 -1.503
Sr -6.625 7.679 -4.370
Sr -9.607 2.375 9.054
Sr -11.302 1.310 0.582
Sr -3.452 5.011 -0.026
Sr -9.295 -0.416 3.747
Sr -7.798 -3.026 1.364
Sr -9.617 10.902 1.727
Sr -7.076 6.524 -0.738
Sr -11.574 -2.730 -0.042
Sr -8.908 -3.608 6.195
Sr -4.440 1.760 -2.215
Sr -8.734 -6.379 3.316
Sr -8.122 3.194 -2.773
Sr -12.553 -5.982 2.056
```

=====

No. 11
This record from the Alexandria database describes SrMn2H after structural relaxation. The functional is PBE-GGA.

Relative energy among the computed polymorphs = 0.00 eV/f.u.

Cell and atoms, written as extended XYZ:
```
8
Lattice="-2.860 4.773 -1.570 -5.022 -2.777 0.704 -4.063 2.208 3.470" Properties=species:S:1:pos:R:3 pbc="T T T"
Sr 0.000 0.000 0.000
Sr -5.432 3.990 0.734
Mn -2.716 1.995 0.367
Mn -5.227 0.607 0.719
Mn -7.258 1.711 2.454
Mn -8.688 4.098 1.669
H -3.941 0.998 -0.433
H -6.513 0.215 1.871
```

=====

No. 12
This record from the Alexandria database describes SrMnH6 after structural relaxation. The functional is PBE-GGA.

Relative energy among the computed polymorphs = 0.72 eV/f.u.

Cell and atoms, written as extended XYZ:
```
8
Lattice="5.587 0.000 0.000 2.794 4.839 0.000 2.794 1.613 4.562" Properties=species:S:1:pos:R:3 pbc="T T T"
Sr 5.587 3.226 2.281
Mn 0.000 0.000 0.000
H 7.232 4.176 0.938
H 5.587 1.326 0.938
H 5.587 5.125 3.624
H 3.942 2.276 3.624
H 3.942 4.176 0.938
H 7.232 2.276 3.624
```